No. 1
Density functional theory data (PBE-GGA) for Pr3Si2O after structural relaxation.

Output
Its crystal system is monoclinic. The calculation puts the total energy at -37.21 eV/f.u.

Lattice parameters (Å, degrees): 5.9763 7.8411 7.2177 105.64 114.46 90.00
Positions (direct):
O1 0.9490 0.7500 0.0000
Pr1 0.8588 0.9258 0.7100
Si1 0.3208 0.4146 0.6538
Si2 0.3330 0.9146 0.6538
Pr2 0.5467 0.7500 0.0000
O2 0.0510 0.2500 0.0000
Si3 0.6670 0.0854 0.3462
Pr3 0.4533 0.2500 0.0000
Si4 0.6792 0.5854 0.3462
Pr4 0.1412 0.0742 0.2900
Pr5 0.8512 0.4258 0.7100
Pr6 0.1488 0.5742 0.2900

---

No. 2
Density functional theory data (PBE-GGA) for Pr3Si2O8 after structural relaxation.

Output
Its crystal system is trigonal. The calculation puts the total energy at -104.12 eV/f.u.

Lattice parameters (Å, degrees): 5.4493 5.4493 7.2572 67.95 67.95 60.00
Positions (direct):
O1 0.3230 0.3230 0.0311
Pr1 0.0000 0.0000 0.0000
Si1 0.4062 0.4062 0.7814
Pr2 0.7960 0.7960 0.6120
Si2 0.5938 0.5938 0.2186
O2 0.2688 0.7643 0.6981
O3 0.7312 0.7312 0.3019
O4 0.7312 0.2357 0.3019
O5 0.6770 0.6770 0.9689
O6 0.2357 0.7312 0.3019
O7 0.2688 0.2688 0.6981
Pr3 0.2040 0.2040 0.3880
O8 0.7643 0.2688 0.6981